# Na2Si4NiO10 (GGA+U, optimized geometry)
# Theoretical density   2.8 g/cm³
# Fermi-level density of states   0.0000 states/eV per atom
# DFT total energy   -6.9466 eV/atom
# Magnetization   0.116 μB per atom
data_Na2Si4NiO10
_cell_length_a 7.018
_cell_length_b 7.773
_cell_length_c 9.857
_cell_angle_alpha 101.62
_cell_angle_beta 102.75
_cell_angle_gamma 115.11
_symmetry_space_group_name_H-M 'P -1'
_symmetry_Int_Tables_number 2
_symmetry_space_group_name_Hall '-P 1'
loop_
_atom_site_label
_atom_site_type_symbol
_atom_site_fract_x
_atom_site_fract_y
_atom_site_fract_z
_atom_site_occupancy
Na1 Na 0.156 0.263 0.479 1
Na2 Na 0.244 0.777 0.920 1
Si1 Si 0.106 0.864 0.241 1
Si2 Si 0.261 0.565 0.302 1
Si3 Si 0.313 0.120 0.750 1
Si4 Si 0.415 0.790 0.640 1
Ni1 Ni 0.245 0.187 0.077 1
O1 O 0.068 0.896 0.082 1
O2 O 0.079 0.127 0.683 1
O3 O 0.093 0.645 0.228 1
O4 O 0.152 0.328 0.226 1
O5 O 0.254 0.898 0.641 1
O6 O 0.289 0.604 0.480 1
O7 O 0.345 0.045 0.367 1
O8 O 0.384 0.141 0.920 1
O9 O 0.447 0.714 0.776 1
O10 O 0.490 0.297 0.704 1

# Na2SiNiO4 (GGA+U, optimized geometry)
# Theoretical density   2.4 g/cm³
# Fermi-level density of states   0.0000 states/eV per atom
# DFT total energy   -5.7041 eV/atom
# Magnetization   0.246 μB per atom
data_Na2SiNiO4
_cell_length_a 5.151
_cell_length_b 11.621
_cell_length_c 18.557
_cell_angle_alpha 90.00
_cell_angle_beta 90.00
_cell_angle_gamma 90.00
_symmetry_space_group_name_H-M 'F d d d'
_symmetry_Int_Tables_number 70
loop_
_symmetry_equiv_pos_as_xyz
'x,y,z'
'-x,-y,-z'
'-x+1/4,-y+1/4,z'
'x+1/4,y+1/4,-z'
'x,-y+1/4,-z+1/4'
'-x,y+1/4,z+1/4'
'-x+1/4,y,-z+1/4'
'x+1/4,-y,z+1/4'
'x,y+1/2,z+1/2'
'-x,-y+1/2,-z+1/2'
'-x+1/4,-y+3/4,z+1/2'
'x+1/4,y+3/4,-z+1/2'
'x,-y+3/4,-z+3/4'
'-x,y+3/4,z+3/4'
'-x+1/4,y+1/2,-z+3/4'
'x+1/4,-y+1/2,z+3/4'
'x+1/2,y,z+1/2'
'-x+1/2,-y,-z+1/2'
'-x+3/4,-y+1/4,z+1/2'
'x+3/4,y+1/4,-z+1/2'
'x+1/2,-y+1/4,-z+3/4'
'-x+1/2,y+1/4,z+3/4'
'-x+3/4,y,-z+3/4'
'x+3/4,-y,z+3/4'
'x+1/2,y+1/2,z'
'-x+1/2,-y+1/2,-z'
'-x+3/4,-y+3/4,z'
'x+3/4,y+3/4,-z'
'x+1/2,-y+3/4,-z+1/4'
'-x+1/2,y+3/4,z+1/4'
'-x+3/4,y+1/2,-z+1/4'
'x+3/4,-y+1/2,z+1/4'
loop_
_atom_site_label
_atom_site_type_symbol
_atom_site_fract_x
_atom_site_fract_y
_atom_site_fract_z
_atom_site_occupancy
Na1 Na 0.125 0.125 0.277 1
Si1 Si 0.125 0.125 0.625 1
Ni1 Ni 0.125 0.125 0.125 1
O1 O 0.083 0.301 0.925 1

# Na4SiNi3O8 (GGA+U, optimized geometry)
# Theoretical density   4.4 g/cm³
# Fermi-level density of states   0.3747 states/eV per atom
# DFT total energy   -5.1297 eV/atom
# Magnetization   0.250 μB per atom
data_Na4SiNi3O8
_cell_length_a 10.365
_cell_length_b 5.875
_cell_length_c 6.297
_cell_angle_alpha 90.00
_cell_angle_beta 122.53
_cell_angle_gamma 90.00
_symmetry_space_group_name_H-M 'C 1 2/m 1'
_symmetry_Int_Tables_number 12
_symmetry_space_group_name_Hall '-C 2y'
loop_
_atom_site_label
_atom_site_type_symbol
_atom_site_fract_x
_atom_site_fract_y
_atom_site_fract_z
_atom_site_occupancy
Na1 Na 0.000 0.000 0.000 1
Na2 Na 0.000 0.500 0.000 1
Na3 Na 0.250 0.250 0.000 1
Si1 Si 0.000 0.000 0.500 1
Ni1 Ni 0.000 0.500 0.500 1
Ni2 Ni 0.250 0.250 0.500 1
O1 O 0.008 0.224 0.305 1
O2 O 0.216 0.000 0.689 1
O3 O 0.232 0.500 0.690 1

# NaSmNi4O12 (GGA+U, optimized geometry)
# Theoretical density   4.5 g/cm³
# Fermi-level density of states   0.5723 states/eV per atom
# DFT total energy   -4.7071 eV/atom
# Magnetization   0.664 μB per atom
data_NaSmNi4O12
_cell_length_a 5.349
_cell_length_b 5.349
_cell_length_c 7.662
_cell_angle_alpha 90.00
_cell_angle_beta 90.00
_cell_angle_gamma 90.00
_symmetry_space_group_name_H-M 'P 4/m m m'
_symmetry_Int_Tables_number 123
_symmetry_space_group_name_Hall '-P 4 2'
loop_
_atom_site_label
_atom_site_type_symbol
_atom_site_fract_x
_atom_site_fract_y
_atom_site_fract_z
_atom_site_occupancy
Na1 Na 0.000 0.000 0.000 1
Sm1 Sm 0.500 0.500 0.500 1
Ni1 Ni 0.000 0.500 0.246 1
O1 O 0.000 0.500 0.000 1
O2 O 0.000 0.500 0.500 1
O3 O 0.264 0.264 0.268 1

# Na2NiSnO4 (GGA+U, optimized geometry)
# Theoretical density   5.1 g/cm³
# Fermi-level density of states   0.0000 states/eV per atom
# DFT total energy   -5.1902 eV/atom
# Magnetization   0.250 μB per atom
data_Na2NiSnO4
_cell_length_a 5.412
_cell_length_b 3.171
_cell_length_c 5.730
_cell_angle_alpha 90.00
_cell_angle_beta 108.18
_cell_angle_gamma 90.00
_symmetry_space_group_name_H-M 'P 1 2/m 1'
_symmetry_Int_Tables_number 10
_symmetry_space_group_name_Hall '-P 2y'
loop_
_atom_site_label
_atom_site_type_symbol
_atom_site_fract_x
_atom_site_fract_y
_atom_site_fract_z
_atom_site_occupancy
Na1 Na 0.000 0.000 0.000 1
Na2 Na 0.500 0.500 0.000 1
Ni1 Ni 0.000 0.500 0.500 1
Sn1 Sn 0.500 0.000 0.500 1
O1 O 0.242 0.000 0.701 1
O2 O 0.267 0.500 0.288 1

# NaSr12Ni7O23 (GGA+U, optimized geometry)
# Theoretical density   4.7 g/cm³
# Fermi-level density of states   0.3581 states/eV per atom
# DFT total energy   -5.4359 eV/atom
# Magnetization   0.204 μB per atom
data_NaSr12Ni7O23
_cell_length_a 8.037
_cell_length_b 9.553
_cell_length_c 9.720
_cell_angle_alpha 60.68
_cell_angle_beta 89.40
_cell_angle_gamma 89.98
_symmetry_space_group_name_H-M 'P 1'
_symmetry_Int_Tables_number 1
_symmetry_space_group_name_Hall 'P 1'
loop_
_atom_site_label
_atom_site_type_symbol
_atom_site_fract_x
_atom_site_fract_y
_atom_site_fract_z
_atom_site_occupancy
Na1 Na 0.000 0.000 0.000 1
Sr1 Sr 0.003 0.362 0.631 1
Sr2 Sr 0.231 0.323 0.964 1
Sr3 Sr 0.237 0.974 0.700 1
Sr4 Sr 0.240 0.704 0.325 1
Sr5 Sr 0.503 0.979 0.307 1
Sr6 Sr 0.508 0.696 0.979 1
Sr7 Sr 0.509 0.320 0.707 1
Sr8 Sr 0.763 0.311 0.016 1
Sr9 Sr 0.763 0.669 0.301 1
Sr10 Sr 0.781 0.032 0.674 1
Sr11 Sr 0.988 0.002 0.358 1
Sr12 Sr 0.993 0.638 0.996 1
Ni1 Ni 0.008 0.338 0.326 1
Ni2 Ni 0.116 0.666 0.661 1
Ni3 Ni 0.336 0.993 0.998 1
Ni4 Ni 0.432 0.668 0.664 1
Ni5 Ni 0.659 0.000 0.995 1
Ni6 Ni 0.662 0.317 0.346 1
Ni7 Ni 0.790 0.654 0.658 1
O1 O 0.029 0.307 0.152 1
O2 O 0.038 0.545 0.292 1
O3 O 0.047 0.163 0.524 1
O4 O 0.212 0.167 0.820 1
O5 O 0.213 0.005 0.167 1
O6 O 0.216 0.823 0.997 1
O7 O 0.265 0.522 0.635 1
O8 O 0.269 0.646 0.821 1
O9 O 0.273 0.831 0.525 1
O10 O 0.506 0.155 0.004 1
O11 O 0.508 0.832 0.147 1
O12 O 0.513 0.008 0.827 1
O13 O 0.594 0.552 0.813 1
O14 O 0.596 0.706 0.512 1
O15 O 0.686 0.104 0.407 1
O16 O 0.689 0.487 0.148 1
O17 O 0.708 0.367 0.503 1
O18 O 0.782 0.990 0.165 1
O19 O 0.788 0.842 0.980 1
O20 O 0.789 0.174 0.842 1
O21 O 0.964 0.807 0.687 1
O22 O 0.973 0.499 0.804 1
O23 O 0.976 0.689 0.495 1

# Na2TcNiO6 (GGA+U, optimized geometry)
# Theoretical density   4.4 g/cm³
# Fermi-level density of states   0.6701 states/eV per atom
# DFT total energy   -5.7562 eV/atom
# Magnetization   0.093 μB per atom
data_Na2TcNiO6
_cell_length_a 5.383
_cell_length_b 5.442
_cell_length_c 9.334
_cell_angle_alpha 90.00
_cell_angle_beta 125.19
_cell_angle_gamma 90.00
_symmetry_space_group_name_H-M 'P 1 21/c 1'
_symmetry_Int_Tables_number 14
_symmetry_space_group_name_Hall '-P 2ybc'
loop_
_atom_site_label
_atom_site_type_symbol
_atom_site_fract_x
_atom_site_fract_y
_atom_site_fract_z
_atom_site_occupancy
Na1 Na 0.243 0.035 0.249 1
Tc1 Tc 0.500 0.000 0.000 1
Ni1 Ni 0.000 0.000 0.500 1
O1 O 0.184 0.202 0.966 1
O2 O 0.263 0.719 0.963 1
O3 O 0.327 0.014 0.757 1

# Na3TcNi2O6 (GGA+U, optimized geometry)
# Theoretical density   4.8 g/cm³
# Fermi-level density of states   0.4366 states/eV per atom
# DFT total energy   -5.4986 eV/atom
# Magnetization   0.500 μB per atom
data_Na3TcNi2O6
_cell_length_a 5.323
_cell_length_b 9.227
_cell_length_c 5.638
_cell_angle_alpha 90.00
_cell_angle_beta 108.35
_cell_angle_gamma 90.00
_symmetry_space_group_name_H-M 'C 1 2/m 1'
_symmetry_Int_Tables_number 12
_symmetry_space_group_name_Hall '-C 2y'
loop_
_atom_site_label
_atom_site_type_symbol
_atom_site_fract_x
_atom_site_fract_y
_atom_site_fract_z
_atom_site_occupancy
Na1 Na 0.000 0.000 0.000 1
Na2 Na 0.000 0.328 0.000 1
Tc1 Tc 0.000 0.500 0.500 1
Ni1 Ni 0.000 0.167 0.500 1
O1 O 0.227 0.341 0.704 1
O2 O 0.248 0.500 0.296 1

# Na4TcNi3O8 (GGA+U, optimized geometry)
# Theoretical density   4.7 g/cm³
# Fermi-level density of states   0.3117 states/eV per atom
# DFT total energy   -5.2866 eV/atom
# Magnetization   0.438 μB per atom
data_Na4TcNi3O8
_cell_length_a 6.1476
_cell_length_b 6.1476
_cell_length_c 15.9589
_cell_angle_alpha 90.00
_cell_angle_beta 90.00
_cell_angle_gamma 120.00
_symmetry_space_group_name_H-M 'R -3 m'
_symmetry_Int_Tables_number 166
_symmetry_space_group_name_Hall '-R 3 2"'
loop_
_atom_site_label
_atom_site_type_symbol
_atom_site_fract_x
_atom_site_fract_y
_atom_site_fract_z
_atom_site_occupancy
Na1 Na 0.0000 0.0000 0.0000 1
Na2 Na 0.0000 0.5000 0.0000 1
Tc1 Tc 0.0000 0.0000 0.5000 1
Ni1 Ni 0.0000 0.5000 0.5000 1
O1 O 0.0000 0.0000 0.2294 1
O2 O 0.0237 0.5118 0.2353 1

Look up the magnetization of the eighth one. 0.500 μB per atom